## CsGaBrCl2 (PBE)

Data for crystalline CsGaBrCl2 at its relaxed geometry.

Cell lengths 5.294, 5.294, 5.395 Å; angles 90.00, 90.00, 90.00 degrees
Sites, in units of the cell vectors:
Cs: 0.000 0.000 0.000
Ga: 0.500 0.500 0.500
Br: 0.500 0.500 0.000
Cl: 0.000 0.500 0.500
Cl: 0.500 0.000 0.500

The calculation puts the total DFT energy (no corrections) at -3.13 eV/atom. As for the raw formation energy: -123.5 kJ per mole of atoms. The size of the total moment comes out at 0.000 Bohr magnetons per cell.


## CuSnHg2Cl (PBE)

Data for crystalline CuSnHg2Cl at its relaxed geometry.

Cell lengths 6.003, 6.003, 5.303 Å; angles 90.00, 90.00, 90.00 degrees
Sites, in units of the cell vectors:
Cu: 0.000 0.000 0.000
Sn: 0.500 0.500 0.000
Hg: 0.000 0.500 0.500
Hg: 0.500 0.000 0.500
Cl: 0.500 0.500 0.500

The calculation puts the total DFT energy (no corrections) at -1.45 eV/atom. As for the raw formation energy: 63.8 kJ per mole of atoms. The size of the total moment comes out at 0.000 Bohr magnetons per cell.


## La2SmY (PBE)

Data for crystalline La2SmY at its relaxed geometry.

Cell lengths 3.708, 3.708, 10.187 Å; angles 90.00, 90.00, 90.00 degrees
Sites, in units of the cell vectors:
La: 0.000 0.000 0.249
La: 0.000 0.000 0.751
Sm: 0.500 0.500 0.500
Y: 0.500 0.500 0.000

The calculation puts the total DFT energy (no corrections) at -5.24 eV/atom. As for the offset from the most stable computed form: 6 meV/atom. The size of the total moment comes out at 0.000 Bohr magnetons per cell.